BaNiC2 | PBE | optimized geometry

Results
* E_form: 0.84 eV per atom
* spin magnetization: 0.00 Bohr magnetons per cell

The structure in CIF format:
```
data_BaNiC2
_chemical_formula_sum 'Ba4 Ni4 C8'
_space_group_name_H-M_alt 'I 41/a m d'
_space_group_IT_number 141
_cell_length_a 4.672
_cell_length_b 4.672
_cell_length_c 11.752
_cell_angle_alpha 90.00
_cell_angle_beta 90.00
_cell_angle_gamma 90.00
loop_
_space_group_symop_operation_xyz
'x,y,z'
'-x,-y,-z'
'-y+1/4,x+3/4,z+1/4'
'y+1/4,-x+3/4,-z+1/4'
'-x+1/2,-y,z+1/2'
'x+1/2,y,-z+1/2'
'y+1/4,-x+1/4,z+3/4'
'-y+1/4,x+1/4,-z+3/4'
'x,-y,-z'
'-x,y,z'
'-y+1/4,-x+1/4,-z+3/4'
'y+1/4,x+1/4,z+3/4'
'-x+1/2,y,-z+1/2'
'x+1/2,-y,z+1/2'
'y+1/4,x+3/4,-z+1/4'
'-y+1/4,-x+3/4,z+1/4'
'x+1/2,y+1/2,z+1/2'
'-x+1/2,-y+1/2,-z+1/2'
'-y+3/4,x+1/4,z+3/4'
'y+3/4,-x+1/4,-z+3/4'
'-x,-y+1/2,z'
'x,y+1/2,-z'
'y+3/4,-x+3/4,z+1/4'
'-y+3/4,x+3/4,-z+1/4'
'x+1/2,-y+1/2,-z+1/2'
'-x+1/2,y+1/2,z+1/2'
'-y+3/4,-x+3/4,-z+1/4'
'y+3/4,x+3/4,z+1/4'
'-x,y+1/2,-z'
'x,-y+1/2,z'
'y+3/4,x+1/4,-z+3/4'
'-y+3/4,-x+1/4,z+3/4'
loop_
_atom_site_label
_atom_site_type_symbol
_atom_site_fract_x
_atom_site_fract_y
_atom_site_fract_z
Ba1 Ba 0.000 0.250 0.375
Ni1 Ni 0.000 0.250 0.875
C1 C 0.000 0.000 0.000
```